1.
DFT (PBE) results for Pu2Cr2MoC4 after structural relaxation.

a b c (Å): 3.045 6.854 5.565
angles (deg): 103.47 90.00 102.84
Site moments in Bohr magnetons follow the coordinates.
Sites, in units of the cell vectors:
C1 0.541 0.082 0.766  -0.09
C2 0.238 0.475 0.227  -0.06
C3 0.459 0.918 0.234  -0.09
C4 0.762 0.525 0.773  -0.06
Mo1 0.000 0.000 0.000  -0.15
Pu1 0.125 0.250 0.528  4.59
Pu2 0.875 0.750 0.472  4.59
Cr1 0.323 0.646 0.975  -0.11
Cr2 0.677 0.354 0.025  -0.11

Calculated values
SG: C2/m (12)
Formation energy from the elements (eV/atom): -0.03

***

2.
DFT (PBE) results for CrMo2RhC after structural relaxation.

a b c (Å): 4.122 4.122 3.878
angles (deg): 90.00 90.00 90.00
Site moments in Bohr magnetons follow the coordinates.
Sites, in units of the cell vectors:
Rh1 0.500 0.500 0.500  -0.04
Mo1 0.500 0.000 0.000  -0.17
Mo2 0.000 0.500 0.000  -0.17
C1 0.000 0.000 0.000  -0.02
Cr1 0.000 0.000 0.500  0.94

Calculated values
SG: P4/mmm (123)
Formation energy from the elements (eV/atom): 0.04

***

What E_tot values result from the calculations? In sequence: -95.86, -47.67 eV/f.u..